# Pu2AuI

A relaxed structure of Pu2AuI (PBE, the Alexandria database).

Output
formation energy without anion corrections	-0.446	eV per atom
energy above the lowest structure with this stoichiometry	0	meV per atom

Cell: 3.686 3.686 7.869 Å, 90.00 90.00 90.00°
Space group P4/mmm (No. 123)
Symmetry-distinct sites (fractional):
1 Pu 0.000 0.000 0.223
2 Au 0.500 0.500 0.000
3 I 0.500 0.500 0.500